Entry 1:
A plane-wave DFT calculation with PBE was carried out for BeTl4Si after structural relaxation.

Cell: 6.288 6.288 6.288 Å, 60.00 60.00 60.00°
Fractional coordinates of all 6 atoms:
Be 0.750 0.750 0.750
Tl 0.876 0.375 0.375
Tl 0.375 0.375 0.876
Tl 0.375 0.876 0.375
Tl 0.375 0.375 0.375
Si 0.000 0.000 0.000

M_tot	0.0	μB/f.u.
E_form (uncorrected)	86.47	kJ per mole of atoms

Entry 2:
A plane-wave DFT calculation with PBE was carried out for Ac3ZnGe after structural relaxation.

Cell: 4.357 8.680 9.182 Å, 91.87 89.89 104.35°
Fractional coordinates of all 10 atoms:
Ac 0.069 0.172 0.386
Ac 0.414 0.877 0.629
Ac 0.630 0.277 0.792
Ac 0.975 0.981 0.036
Ac 0.263 0.560 0.036
Ac 0.780 0.594 0.385
Zn 0.238 0.501 0.645
Zn 0.806 0.653 0.776
Ge 0.414 0.860 0.277
Ge 0.630 0.294 0.145

M_tot	0.2	μB/f.u.
calculated total energy	-3.9921	eV/atom